[1]
# Pm2PaPt3 (PBE, optimized geometry)
# Calculated total energy, eV per atom: -7.231
# Calculated volume, Å³/atom: 25.08
# Offset from the most stable computed form, eV per atom: 0.0000
# ΔH_f (0 K), eV per atom: -1.044
data_Pm2PaPt3
_cell_length_a 13.6753
_cell_length_b 13.0403
_cell_length_c 7.1819
_cell_angle_alpha 79.35
_cell_angle_beta 69.58
_cell_angle_gamma 31.07
_symmetry_space_group_name_H-M 'P 1'
_symmetry_Int_Tables_number 1
loop_
_symmetry_equiv_pos_as_xyz
'x,y,z'
loop_
_atom_site_label
_atom_site_type_symbol
_atom_site_fract_x
_atom_site_fract_y
_atom_site_fract_z
Pm1 Pm 0.0425 0.0425 0.2075
Pm2 Pm 0.1249 0.1249 0.6251
Pm3 Pm 0.2075 0.2075 0.0425
Pm4 Pm 0.3749 0.3749 0.8751
Pm5 Pm 0.6251 0.6251 0.1249
Pm6 Pm 0.7925 0.7925 0.9575
Pm7 Pm 0.8751 0.8751 0.3749
Pm8 Pm 0.9575 0.9575 0.7925
Pa1 Pa 0.2912 0.2912 0.4588
Pa2 Pa 0.4588 0.4588 0.2912
Pa3 Pa 0.5412 0.5412 0.7088
Pa4 Pa 0.7088 0.7088 0.5412
Pt1 Pt 0.0394 0.5373 0.2268
Pt2 Pt 0.1431 0.6069 0.6069
Pt3 Pt 0.2268 0.6965 0.0394
Pt4 Pt 0.3035 0.7732 0.4627
Pt5 Pt 0.3931 0.8569 0.8569
Pt6 Pt 0.4627 0.9606 0.3035
Pt7 Pt 0.5373 0.0394 0.6965
Pt8 Pt 0.6069 0.1431 0.1431
Pt9 Pt 0.6965 0.2268 0.5373
Pt10 Pt 0.7732 0.3035 0.9606
Pt11 Pt 0.8569 0.3931 0.3931
Pt12 Pt 0.9606 0.4627 0.7732



[2]
# PmPaPt2 (PBE, optimized geometry)
# Calculated total energy, eV per atom: -7.505
# Calculated volume, Å³/atom: 22.79
# Offset from the most stable computed form, eV per atom: 0.1340
# ΔH_f (0 K), eV per atom: -0.923
data_PmPaPt2
_cell_length_a 3.5614
_cell_length_b 3.5614
_cell_length_c 7.1867
_cell_angle_alpha 90.00
_cell_angle_beta 90.00
_cell_angle_gamma 90.00
_symmetry_space_group_name_H-M 'P 1'
_symmetry_Int_Tables_number 1
loop_
_symmetry_equiv_pos_as_xyz
'x,y,z'
loop_
_atom_site_label
_atom_site_type_symbol
_atom_site_fract_x
_atom_site_fract_y
_atom_site_fract_z
Pm1 Pm 0.0000 0.0000 0.0000
Pa1 Pa 0.0000 0.0000 0.5000
Pt1 Pt 0.5000 0.5000 0.2827
Pt2 Pt 0.5000 0.5000 0.7173



[3]
# PmPaPt (PBE, optimized geometry)
# Calculated total energy, eV per atom: -7.326
# Calculated volume, Å³/atom: 25.47
# Offset from the most stable computed form, eV per atom: 0.0000
# ΔH_f (0 K), eV per atom: -0.564
data_PmPaPt
_cell_length_a 3.6831
_cell_length_b 3.6831
_cell_length_c 11.2634
_cell_angle_alpha 90.00
_cell_angle_beta 90.00
_cell_angle_gamma 90.00
_symmetry_space_group_name_H-M 'P 1'
_symmetry_Int_Tables_number 1
loop_
_symmetry_equiv_pos_as_xyz
'x,y,z'
loop_
_atom_site_label
_atom_site_type_symbol
_atom_site_fract_x
_atom_site_fract_y
_atom_site_fract_z
Pm1 Pm 0.0000 0.0000 0.0000
Pm2 Pm 0.5000 0.5000 0.5000
Pa1 Pa 0.0000 0.0000 0.7045
Pa2 Pa 0.5000 0.5000 0.2045
Pt1 Pt 0.0000 0.0000 0.3086
Pt2 Pt 0.5000 0.5000 0.8086



[4]
# PmPaPt (PBE, optimized geometry)
# Calculated total energy, eV per atom: -7.062
# Calculated volume, Å³/atom: 27.82
# Offset from the most stable computed form, eV per atom: 0.2636
# ΔH_f (0 K), eV per atom: -0.300
data_PmPaPt
_cell_length_a 6.9369
_cell_length_b 6.9369
_cell_length_c 6.9369
_cell_angle_alpha 90.00
_cell_angle_beta 90.00
_cell_angle_gamma 90.00
_symmetry_space_group_name_H-M 'P 1'
_symmetry_Int_Tables_number 1
loop_
_symmetry_equiv_pos_as_xyz
'x,y,z'
loop_
_atom_site_label
_atom_site_type_symbol
_atom_site_fract_x
_atom_site_fract_y
_atom_site_fract_z
Pm1 Pm 0.0000 0.0000 0.0000
Pm2 Pm 0.0000 0.5000 0.5000
Pm3 Pm 0.5000 0.0000 0.5000
Pm4 Pm 0.5000 0.5000 0.0000
Pa1 Pa 0.0000 0.0000 0.5000
Pa2 Pa 0.0000 0.5000 0.0000
Pa3 Pa 0.5000 0.0000 0.0000
Pa4 Pa 0.5000 0.5000 0.5000
Pt1 Pt 0.2500 0.2500 0.2500
Pt2 Pt 0.2500 0.7500 0.7500
Pt3 Pt 0.7500 0.2500 0.7500
Pt4 Pt 0.7500 0.7500 0.2500



[5]
# Pm2PaPt3 (PBE, optimized geometry)
# Calculated total energy, eV per atom: -7.214
# Calculated volume, Å³/atom: 25.07
# Offset from the most stable computed form, eV per atom: 0.0167
# ΔH_f (0 K), eV per atom: -1.027
data_Pm2PaPt3
_cell_length_a 4.0889
_cell_length_b 5.8640
_cell_length_c 12.5449
_cell_angle_alpha 90.00
_cell_angle_beta 90.00
_cell_angle_gamma 90.00
_symmetry_space_group_name_H-M 'P 1'
_symmetry_Int_Tables_number 1
loop_
_symmetry_equiv_pos_as_xyz
'x,y,z'
loop_
_atom_site_label
_atom_site_type_symbol
_atom_site_fract_x
_atom_site_fract_y
_atom_site_fract_z
Pm1 Pm 0.0000 0.0000 0.1666
Pm2 Pm 0.0000 0.0000 0.8334
Pm3 Pm 0.5000 0.5000 0.3334
Pm4 Pm 0.5000 0.5000 0.6666
Pa1 Pa 0.0000 0.0000 0.5000
Pa2 Pa 0.5000 0.5000 0.0000
Pt1 Pt 0.0000 0.5000 0.1542
Pt2 Pt 0.0000 0.5000 0.5000
Pt3 Pt 0.0000 0.5000 0.8458
Pt4 Pt 0.5000 0.0000 0.0000
Pt5 Pt 0.5000 0.0000 0.3458
Pt6 Pt 0.5000 0.0000 0.6542



[6]
# PmPa2Pt9 (PBE, optimized geometry)
# Calculated total energy, eV per atom: -7.483
# Calculated volume, Å³/atom: 18.25
# ΔH_f (0 K), eV per atom: -0.974
data_PmPa2Pt9
_cell_length_a 4.1890
_cell_length_b 4.1890
_cell_length_c 12.4790
_cell_angle_alpha 90.00
_cell_angle_beta 90.00
_cell_angle_gamma 90.00
_symmetry_space_group_name_H-M 'P 1'
_symmetry_Int_Tables_number 1
loop_
_symmetry_equiv_pos_as_xyz
'x,y,z'
loop_
_atom_site_label
_atom_site_type_symbol
_atom_site_fract_x
_atom_site_fract_y
_atom_site_fract_z
Pm1 Pm 0.0000 0.0000 0.0000
Pa1 Pa 0.0000 0.0000 0.3324
Pa2 Pa 0.0000 0.0000 0.6676
Pt1 Pt 0.0000 0.5000 0.1716
Pt2 Pt 0.0000 0.5000 0.5000
Pt3 Pt 0.0000 0.5000 0.8284
Pt4 Pt 0.5000 0.0000 0.1716
Pt5 Pt 0.5000 0.0000 0.5000
Pt6 Pt 0.5000 0.0000 0.8284
Pt7 Pt 0.5000 0.5000 0.0000
Pt8 Pt 0.5000 0.5000 0.3343
Pt9 Pt 0.5000 0.5000 0.6657



[7]
# PmPaPt (PBE, optimized geometry)
# Calculated total energy, eV per atom: -7.239
# Calculated volume, Å³/atom: 25.97
# Offset from the most stable computed form, eV per atom: 0.0866
# ΔH_f (0 K), eV per atom: -0.477
data_PmPaPt
_cell_length_a 5.9072
_cell_length_b 3.8648
_cell_length_c 13.6495
_cell_angle_alpha 90.00
_cell_angle_beta 90.00
_cell_angle_gamma 90.00
_symmetry_space_group_name_H-M 'P 1'
_symmetry_Int_Tables_number 1
loop_
_symmetry_equiv_pos_as_xyz
'x,y,z'
loop_
_atom_site_label
_atom_site_type_symbol
_atom_site_fract_x
_atom_site_fract_y
_atom_site_fract_z
Pm1 Pm 0.1422 0.2500 0.1036
Pm2 Pm 0.3578 0.7500 0.6036
Pm3 Pm 0.6422 0.2500 0.3964
Pm4 Pm 0.8578 0.7500 0.8964
Pa1 Pa 0.1452 0.7500 0.3137
Pa2 Pa 0.3548 0.2500 0.8137
Pa3 Pa 0.6452 0.7500 0.1863
Pa4 Pa 0.8548 0.2500 0.6863
Pt1 Pt 0.1540 0.2500 0.4584
Pt2 Pt 0.3460 0.7500 0.9584
Pt3 Pt 0.6540 0.2500 0.0416
Pt4 Pt 0.8460 0.7500 0.5416



[8]
# Pm4PaPt5 (PBE, optimized geometry)
# Calculated total energy, eV per atom: -6.925
# Calculated volume, Å³/atom: 25.30
# ΔH_f (0 K), eV per atom: -1.054
data_Pm4PaPt5
_cell_length_a 7.1894
_cell_length_b 7.1894
_cell_length_c 7.1894
_cell_angle_alpha 99.62
_cell_angle_beta 99.62
_cell_angle_gamma 131.75
_symmetry_space_group_name_H-M 'P 1'
_symmetry_Int_Tables_number 1
loop_
_symmetry_equiv_pos_as_xyz
'x,y,z'
loop_
_atom_site_label
_atom_site_type_symbol
_atom_site_fract_x
_atom_site_fract_y
_atom_site_fract_z
Pm1 Pm 0.0984 0.7011 0.7994
Pm2 Pm 0.2989 0.0984 0.3973
Pm3 Pm 0.7011 0.9016 0.6027
Pm4 Pm 0.9016 0.2989 0.2006
Pa1 Pa 0.5000 0.5000 0.0000
Pt1 Pt 0.0000 0.0000 0.0000
Pt2 Pt 0.2148 0.4051 0.6199
Pt3 Pt 0.4051 0.7852 0.1903
Pt4 Pt 0.5949 0.2148 0.8097
Pt5 Pt 0.7852 0.5949 0.3801